(1)
Density functional theory data (PBE) for crystalline Hf2ZrNbO at its relaxed geometry.

The structure in POSCAR format:
```
Hf2ZrNbO
1.0
4.417 0.000 0.000
0.000 4.417 0.000
0.000 0.000 4.581
Nb Zr Hf O
1 1 2 1
direct
0.500 0.500 0.500
0.000 0.000 0.500
0.000 0.500 0.000
0.500 0.000 0.000
0.000 0.000 0.000
```

Summary:
formation energy without anion corrections = -1.02 eV per atom
E_tot = -48.6 eV for the cell shown
excess energy over the best structure of this formula in the dataset = 0.0 meV/atom

(2)
Density functional theory data (PBE) for crystalline HfZr2NbO at its relaxed geometry.

The structure in POSCAR format:
```
HfZr2NbO
1.0
4.577 0.000 0.000
0.000 4.577 0.000
0.000 0.000 4.310
Nb O Hf Zr
1 1 1 2
direct
0.000 0.000 0.500
0.000 0.000 0.000
0.500 0.500 0.500
0.500 0.000 0.000
0.000 0.500 0.000
```

Summary:
formation energy without anion corrections = -0.93 eV per atom
E_tot = -46.7 eV for the cell shown
excess energy over the best structure of this formula in the dataset = 80.9 meV/atom

(3)
Density functional theory data (PBE) for crystalline HfZr2NbO at its relaxed geometry.

The structure in POSCAR format:
```
HfZr2NbO
1.0
4.563 0.000 0.000
0.000 4.563 0.000
0.000 0.000 4.345
Zr Nb Hf O
2 1 1 1
direct
0.500 0.000 0.000
0.000 0.500 0.000
0.500 0.500 0.500
0.000 0.000 0.500
0.000 0.000 0.000
```

Summary:
formation energy without anion corrections = -1.02 eV per atom
E_tot = -47.2 eV for the cell shown
excess energy over the best structure of this formula in the dataset = 0.0 meV/atom